# Mo2RhSe

A crystal of Mo2RhSe relaxed with PBEsol (SCAN, the Alexandria database).

Cell: 2.9423 2.9423 6.7135 Å, 90.00 90.00 90.00°
Space group P4/mmm (No. 123)
Inequivalent atoms, fractional coordinates:
Mo: 0.0000 0.0000 0.2356 [2 per cell]
Rh: 0.5000 0.5000 0.5000 [1 per cell]
Se: 0.5000 0.5000 0.0000 [1 per cell]

## Properties
- N(E_F): 0.632 states/eV per atom
- Density: 10.68 g/cm3
- Total magnetization: 0.000 μB per atom
- Formation energy without anion corrections: 0.058 eV/atom

---

# Hf3CrPd

A crystal of Hf3CrPd relaxed with PBEsol (SCAN, the Alexandria database).

Cell: 4.6605 4.6605 4.6605 Å, 90.00 90.00 90.00°
Space group Pm-3m (No. 221)
Inequivalent atoms, fractional coordinates:
Hf: 0.0000 0.0000 0.5000 [3 per cell]
Cr: 0.0000 0.0000 0.0000 [1 per cell]
Pd: 0.5000 0.5000 0.5000 [1 per cell]

## Properties
- N(E_F): 1.308 states/eV per atom
- E_form: 52 kJ per mole of atoms
- Density: 11.38 g/cm3
- Total magnetization: 0.000 μB per atom

---

# P2WO8

A crystal of P2WO8 relaxed with PBEsol (SCAN, the Alexandria database).

Cell: 16.6238 5.1651 6.9244 Å, 90.00 101.56 90.00°
Space group C2/m (No. 12)
Inequivalent atoms, fractional coordinates:
P: 0.1668 0.0000 0.1174 [4 per cell]
P: 0.1688 0.0000 0.5493 [4 per cell]
W: 0.1107 0.5000 0.7997 [4 per cell]
O: 0.0060 0.5000 0.7582 [4 per cell]
O: 0.1207 0.2356 0.6122 [8 per cell]
O: 0.1254 0.2382 0.0061 [8 per cell]
O: 0.1351 0.0000 0.3163 [4 per cell]
O: 0.2417 0.5000 0.3816 [4 per cell]
O: 0.2419 0.5000 0.8568 [4 per cell]

## Properties
- N(E_F): 0.000 states/eV per atom
- Density: 4.26 g/cm3
- Total magnetization: 0.000 μB per atom
- Formation energy without anion corrections: -2.282 eV/atom

---

# KBeFe2

A crystal of KBeFe2 relaxed with PBEsol (SCAN, the Alexandria database).

Cell: 2.4925 4.9597 9.6902 Å, 90.00 90.00 90.00°
Space group Immm (No. 71)
Inequivalent atoms, fractional coordinates:
K: 0.0000 0.0000 0.0000 [2 per cell]
Be: 0.0000 0.0000 0.5000 [2 per cell]
Fe: 0.0000 0.5000 0.2028 [4 per cell]

## Properties
- N(E_F): 0.932 states/eV per atom
- E_form: 90 kJ per mole of atoms
- Density: 4.43 g/cm3
- Total magnetization: 1.276 μB per atom